Entry from Alexandria: a geometry-optimized AcNd8Sm2 structure (PBE).

The structure in CIF format:
```
data_AcNd8Sm2
_chemical_formula_sum 'Ac1 Nd8 Sm2'
_cell_length_a 10.552
_cell_length_b 10.552
_cell_length_c 5.722
_cell_angle_alpha 93.69
_cell_angle_beta 93.69
_cell_angle_gamma 40.04
_space_group_name_H-M_alt 'P 1'
_space_group_IT_number 1
loop_
_space_group_symop_operation_xyz
'x,y,z'
loop_
_atom_site_label
_atom_site_type_symbol
_atom_site_fract_x
_atom_site_fract_y
_atom_site_fract_z
_atom_site_occupancy
Ac1 Ac 0.000 0.000 0.000 1
Nd1 Nd 0.135 0.597 0.272 1
Nd2 Nd 0.189 0.189 0.232 1
Nd3 Nd 0.403 0.865 0.728 1
Nd4 Nd 0.456 0.456 0.759 1
Nd5 Nd 0.544 0.544 0.241 1
Nd6 Nd 0.597 0.135 0.272 1
Nd7 Nd 0.811 0.811 0.768 1
Nd8 Nd 0.865 0.403 0.728 1
Sm1 Sm 0.285 0.285 0.749 1
Sm2 Sm 0.715 0.715 0.251 1
```

Computed properties:
spin magnetization	0.0	μB/cell
density	6.828	g/cm³
offset from the most stable computed form	11	meV/atom
formation energy from the elements	0.126	eV per atom